# 1
DFT (PBE) results for a relaxed MnBeZn2H crystal.

Values from the calculation:
For the density of states at the Fermi level, the calculation gives 0.432 states/eV/atom. The energy comes out at -3.46 eV/atom. The space group is No. 123.

a = 3.8117 Å, b = 3.6453 Å, c = 3.8117 Å
α = 90.00°, β = 90.00°, γ = 90.00°
With the nearest neighbours (Å) after each atom.
Positions (direct):
Be: 0.0000 0.5000 0.0000  2 H 1.82
Zn: 0.0000 0.0000 0.5000  2 H 1.91
Zn: 0.5000 0.0000 0.0000  2 H 1.91
Mn: 0.5000 0.5000 0.5000  8 Zn 2.64, 4 Be 2.70
H: 0.0000 0.0000 0.0000  2 Be 1.82, 4 Zn 1.91

***

# 2
DFT (PBE) results for a relaxed K5Rb2Pb4 crystal.

Values from the calculation:
The formation energy comes out at -62 meV per atom. For the density of states at the Fermi level, the calculation gives 0.655 states/eV/atom. The space group is No. 12.

a = 7.7138 Å, b = 9.4058 Å, c = 10.4350 Å
α = 64.18°, β = 68.31°, γ = 65.79°
With the nearest neighbours (Å) after each atom.
Positions (direct):
K: 0.1368 0.3236 0.9078  4 Pb 3.53-3.75, 2 K 3.82-3.90
K: 0.8632 0.6764 0.0922  4 Pb 3.53-3.75, 2 K 3.82-3.90
K: 0.0000 0.5000 0.5000  2 Pb 3.51
K: 0.6317 0.3236 0.9078  4 Pb 3.53-3.75, 2 K 3.82-3.90
K: 0.3683 0.6764 0.0922  4 Pb 3.53-3.75, 2 K 3.82-3.90
Rb: 0.2585 0.8777 0.6054  4 Pb 3.95-4.20
Rb: 0.7415 0.1223 0.3946  4 Pb 3.95-4.20
Pb: 0.4225 0.9777 0.1774  1 Pb 2.96
Pb: 0.5775 0.0223 0.8226  1 Pb 2.96
Pb: 0.7677 0.7110 0.7536  1 Pb 2.96
Pb: 0.2323 0.2890 0.2464  1 Pb 2.96

***

# 3
DFT (PBE) results for a relaxed Pm2Cd5Hg12 crystal.

Values from the calculation:
The formation energy comes out at -122 meV per atom. For the density of states at the Fermi level, the calculation gives 0.431 states/eV/atom. The space group is No. 12.

a = 5.3973 Å, b = 10.3923 Å, c = 10.3920 Å
α = 60.69°, β = 75.33°, γ = 75.33°
With the nearest neighbours (Å) after each atom.
Positions (direct):
Pm: 0.0000 0.2329 0.7671  10 Hg 3.17-3.32
Pm: 0.0000 0.7671 0.2329  10 Hg 3.17-3.32
Cd: 0.3992 0.2011 0.2011  6 Hg 2.95-3.20, 2 Cd 3.14-3.21
Cd: 0.8122 0.2981 0.2981  6 Hg 3.14-3.23, 2 Cd 3.14-3.21
Cd: 0.5000 0.0000 0.0000  6 Hg 3.06-3.20
Cd: 0.1878 0.7019 0.7019  6 Hg 3.14-3.23, 2 Cd 3.14-3.21
Cd: 0.6008 0.7989 0.7989  6 Hg 2.95-3.20, 2 Cd 3.14-3.21
Hg: 0.0437 0.8844 0.8844  4 Cd 2.95-3.20, 2 Pm 3.17, 2 Hg 3.25
Hg: 0.2003 0.5286 0.0891  2 Cd 3.00-3.16, 3 Hg 3.08-3.25, 1 Pm 3.32
Hg: 0.2003 0.0891 0.5286  2 Cd 3.00-3.16, 3 Hg 3.08-3.25, 1 Pm 3.32
Hg: 0.6120 0.6429 0.1483  3 Hg 3.08-3.11, 3 Cd 3.14-3.20, 2 Pm 3.20-3.29
Hg: 0.6120 0.1483 0.6429  3 Hg 3.08-3.11, 3 Cd 3.14-3.20, 2 Pm 3.20-3.29
Hg: 0.2941 0.4447 0.4447  4 Hg 3.09-3.39, 1 Cd 3.23, 2 Pm 3.23
Hg: 0.7059 0.5553 0.5553  4 Hg 3.09-3.39, 1 Cd 3.23, 2 Pm 3.23
Hg: 0.3880 0.3571 0.8517  3 Hg 3.08-3.11, 3 Cd 3.14-3.20, 2 Pm 3.20-3.29
Hg: 0.3880 0.8517 0.3571  3 Hg 3.08-3.11, 3 Cd 3.14-3.20, 2 Pm 3.20-3.29
Hg: 0.7997 0.4714 0.9109  2 Cd 3.00-3.16, 3 Hg 3.08-3.25, 1 Pm 3.32
Hg: 0.7997 0.9109 0.4714  2 Cd 3.00-3.16, 3 Hg 3.08-3.25, 1 Pm 3.32
Hg: 0.9563 0.1156 0.1156  4 Cd 2.95-3.20, 2 Pm 3.17, 2 Hg 3.25

***

# 4
DFT (PBE) results for a relaxed MgMn2Cu crystal.

Values from the calculation:
The formation energy comes out at 302 meV per atom. For the density of states at the Fermi level, the calculation gives 0.786 states/eV/atom. The space group is No. 65.

a = 4.7043 Å, b = 4.7043 Å, c = 2.8182 Å
α = 90.00°, β = 90.00°, γ = 108.45°
With the nearest neighbours (Å) after each atom.
Positions (direct):
Cu: 0.5000 0.0000 0.5000  8 Mn 2.74, 2 Mg 2.75, 2 Cu 2.82
Mg: 0.0000 0.5000 0.5000  8 Mn 2.74, 2 Cu 2.75, 2 Mg 2.82
Mn: 0.0000 0.0000 0.0000  4 Mg 2.74, 4 Cu 2.74, 4 Mn 2.75-2.82
Mn: 0.5000 0.5000 0.0000  4 Cu 2.74, 4 Mg 2.74, 4 Mn 2.75-2.82

***

# 5
DFT (PBE) results for a relaxed DyThSc2 crystal.

Values from the calculation:
The formation energy comes out at 68 meV per atom. For the density of states at the Fermi level, the calculation gives 1.601 states/eV/atom. The space group is No. 160.

a = 3.4302 Å, b = 3.4302 Å, c = 11.2209 Å
α = 81.21°, β = 81.21°, γ = 60.00°
With the nearest neighbours (Å) after each atom.
Positions (direct):
Dy: 0.6665 0.6665 0.0006  6 Sc 3.37-3.38, 6 Dy 3.43
Th: 0.5003 0.5003 0.4991  6 Sc 3.41-3.43, 6 Th 3.43
Sc: 0.0826 0.0826 0.7523  3 Dy 3.38, 3 Th 3.43, 6 Sc 3.43
Sc: 0.2507 0.2507 0.2480  3 Dy 3.37, 3 Th 3.41, 6 Sc 3.43

***

# 6
DFT (PBE) results for a relaxed Tb5HoSb4 crystal.

Values from the calculation:
For the density of states at the Fermi level, the calculation gives 0.543 states/eV/atom. The formation energy without anion corrections is -740 meV per atom. The space group is No. 12.

a = 4.3095 Å, b = 8.4320 Å, c = 9.5824 Å
α = 105.18°, β = 103.00°, γ = 90.00°
With the nearest neighbours (Å) after each atom.
Positions (direct):
Tb: 0.8228 0.6499 0.6457  3 Sb 3.05-3.07
Tb: 0.8365 0.1767 0.6730  4 Sb 3.02-3.08
Tb: 0.1635 0.8233 0.3270  4 Sb 3.02-3.08
Tb: 0.5000 0.5000 0.0000  4 Sb 3.01
Tb: 0.1772 0.3501 0.3543  3 Sb 3.05-3.07
Ho: 0.5000 0.0000 0.0000  6 Sb 3.02-3.04
Sb: 0.3312 0.9132 0.6624  5 Tb 3.02-3.08, 1 Ho 3.04
Sb: 0.9926 0.7444 0.9852  4 Tb 3.01-3.08, 2 Ho 3.02
Sb: 0.6688 0.0868 0.3376  5 Tb 3.02-3.08, 1 Ho 3.04
Sb: 0.0074 0.2556 0.0148  4 Tb 3.01-3.08, 2 Ho 3.02

***

# 7
DFT (PBE) results for a relaxed ZrNbHRh2 crystal.

Values from the calculation:
For the density of states at the Fermi level, the calculation gives 0.852 states/eV/atom. The energy comes out at -7.73 eV/atom. The space group is No. 123.

a = 4.0987 Å, b = 4.0987 Å, c = 4.1157 Å
α = 90.00°, β = 90.00°, γ = 90.00°
With the nearest neighbours (Å) after each atom.
Positions (direct):
H: 0.0000 0.0000 0.0000  4 Rh 2.05, 2 Nb 2.06
Nb: 0.0000 0.0000 0.5000  2 H 2.06
Rh: 0.0000 0.5000 0.0000  2 H 2.05
Rh: 0.5000 0.0000 0.0000  2 H 2.05
Zr: 0.5000 0.5000 0.5000  4 Nb 2.90, 8 Rh 2.90

***

# 8
DFT (PBE) results for a relaxed CaTbNd4 crystal.

Values from the calculation:
The formation energy comes out at 213 meV per atom. For the density of states at the Fermi level, the calculation gives 1.576 states/eV/atom. The space group is No. 216.

a = 6.8061 Å, b = 6.8061 Å, c = 6.8061 Å
α = 60.00°, β = 60.00°, γ = 60.00°
With the nearest neighbours (Å) after each atom.
Positions (direct):
Nd: 0.6266 0.6266 0.1201  6 Nd 3.36-3.45
Nd: 0.6266 0.1201 0.6266  6 Nd 3.36-3.45
Nd: 0.6266 0.6266 0.6266  6 Nd 3.36-3.45
Nd: 0.1201 0.6266 0.6266  6 Nd 3.36-3.45
Ca: 0.2500 0.2500 0.2500  12 Nd 4.00, 4 Tb 4.17
Tb: 0.0000 0.0000 0.0000  12 Nd 3.99, 4 Ca 4.17